Crystalline PdAuSN2 at its relaxed geometry, computed with PBE.

Results
The energy above the most stable polymorph in this dataset comes out at 0.000 eV/atom. Its uncorrected energy is -4.33 eV per atom. The value obtained for the total magnetic moment is 1.04 μB/f.u. The formation energy from raw total energies is 1520 meV/atom.

Lattice parameters (Å, degrees): 3.7234 3.7234 7.3618 90.00 90.00 90.00
With the nearest neighbours (Å) after each atom.
Space group P4/mmm (No. 123)
One atom of each set of equivalent atoms:
Pd: 0.0000 0.0000 0.0000 (multiplicity 1)  4 N 1.86
Au: 0.5000 0.5000 0.5000 (multiplicity 1)  4 S 2.63
S: 0.0000 0.0000 0.5000 (multiplicity 1)  4 Au 2.63
N: 0.0000 0.5000 0.0000 (multiplicity 2)  2 Pd 1.86

=====

Crystalline PdAuSe2N at its relaxed geometry, computed with PBE.

Results
The energy above the most stable polymorph in this dataset comes out at 0.000 eV/atom. Its uncorrected energy is -3.87 eV per atom. The value obtained for the total magnetic moment is 0.66 μB/f.u. The formation energy from raw total energies is 888 meV/atom.

Lattice parameters (Å, degrees): 5.1825 5.1825 3.6685 90.00 90.00 90.00
With the nearest neighbours (Å) after each atom.
Space group P4/mmm (No. 123)
One atom of each set of equivalent atoms:
Pd: 0.0000 0.0000 0.0000 (multiplicity 1)  2 N 1.83
Au: 0.5000 0.5000 0.5000 (multiplicity 1)  8 Se 3.17
Se: 0.0000 0.5000 0.0000 (multiplicity 2)  2 Pd 2.59
N: 0.0000 0.0000 0.5000 (multiplicity 1)  2 Pd 1.83

=====

Crystalline PdAuSeN2 at its relaxed geometry, computed with PBE.

Results
The energy above the most stable polymorph in this dataset comes out at 0.000 eV/atom. Its uncorrected energy is -4.28 eV per atom. The value obtained for the total magnetic moment is 0.00 μB/f.u. The formation energy from raw total energies is 1445 meV/atom.

Lattice parameters (Å, degrees): 3.8005 3.8005 6.2057 90.00 90.00 90.00
With the nearest neighbours (Å) after each atom.
Space group P4/mmm (No. 123)
One atom of each set of equivalent atoms:
Pd: 0.0000 0.0000 0.0000 (multiplicity 1)  4 N 1.90
Au: 0.5000 0.5000 0.5000 (multiplicity 1)  4 Se 2.69
Se: 0.0000 0.0000 0.5000 (multiplicity 1)  4 Au 2.69
N: 0.0000 0.5000 0.0000 (multiplicity 2)  2 Pd 1.90

=====

Crystalline PdAuSe2N at its relaxed geometry, computed with PBE.

Results
The energy above the most stable polymorph in this dataset comes out at 0.296 eV/atom. Its uncorrected energy is -3.57 eV per atom. The value obtained for the total magnetic moment is 0.00 μB/f.u. The formation energy from raw total energies is 1183 meV/atom.

Lattice parameters (Å, degrees): 5.2927 5.2927 3.7011 90.00 90.00 90.00
With the nearest neighbours (Å) after each atom.
Space group P4/mmm (No. 123)
One atom of each set of equivalent atoms:
Pd: 0.0000 0.0000 0.0000 (multiplicity 1)  8 Se 3.23
Au: 0.5000 0.5000 0.5000 (multiplicity 1)  2 N 1.85
Se: 0.0000 0.5000 0.5000 (multiplicity 2)  2 Au 2.65
N: 0.5000 0.5000 0.0000 (multiplicity 1)  2 Au 1.85

=====

Crystalline PdAuSeN2 at its relaxed geometry, computed with PBE.

Results
The energy above the most stable polymorph in this dataset comes out at 0.252 eV/atom. Its uncorrected energy is -4.02 eV per atom. The value obtained for the total magnetic moment is 3.73 μB/f.u. The formation energy from raw total energies is 1697 meV/atom.

Lattice parameters (Å, degrees): 3.9141 3.9141 6.2383 90.00 90.00 90.00
With the nearest neighbours (Å) after each atom.
Space group P4/mmm (No. 123)
One atom of each set of equivalent atoms:
Pd: 0.0000 0.0000 0.0000 (multiplicity 1)  4 Se 2.77
Au: 0.5000 0.5000 0.5000 (multiplicity 1)  4 N 1.96
Se: 0.5000 0.5000 0.0000 (multiplicity 1)  4 Pd 2.77
N: 0.0000 0.5000 0.5000 (multiplicity 2)  2 Au 1.96

=====

Crystalline Sr2PdAuN at its relaxed geometry, computed with PBE.

Results
Its uncorrected energy is -4.63 eV per atom. The value obtained for the total magnetic moment is 0.00 μB/f.u. The formation energy from raw total energies is -596 meV/atom.

Lattice parameters (Å, degrees): 5.3567 5.3567 3.9792 90.00 90.00 90.00
With the nearest neighbours (Å) after each atom.
Space group P4/mmm (No. 123)
One atom of each set of equivalent atoms:
Sr: 0.0000 0.5000 0.0000 (multiplicity 2)  2 N 2.68
Pd: 0.0000 0.0000 0.5000 (multiplicity 1)  2 N 1.99
Au: 0.5000 0.5000 0.5000 (multiplicity 1)  8 Sr 3.34
N: 0.0000 0.0000 0.0000 (multiplicity 1)  2 Pd 1.99